A | Density functional theory data (PBE) for crystalline Li6In2Au at its relaxed geometry.

```
data_Li6In2Au
_cell_length_a 13.737
_cell_length_b 7.927
_cell_length_c 2.876
_cell_angle_alpha 90.00
_cell_angle_beta 90.15
_cell_angle_gamma 90.00
_symmetry_space_group_name_H-M 'C 1 2/m 1'
_symmetry_Int_Tables_number 12
loop_
_symmetry_equiv_pos_as_xyz
'x,y,z'
'-x,-y,-z'
'-x,y,-z'
'x,-y,z'
'x+1/2,y+1/2,z'
'-x+1/2,-y+1/2,-z'
'-x+1/2,y+1/2,-z'
'x+1/2,-y+1/2,z'
loop_
_atom_site_label
_atom_site_type_symbol
_atom_site_fract_x
_atom_site_fract_y
_atom_site_fract_z
Li1 Li 0.000 0.176 0.000
Li2 Li 0.162 0.338 0.995
In1 In 0.167 0.000 0.500
Au1 Au 0.000 0.500 0.500
```

The density of states at the Fermi level is 6.9 states/eV per cell.


B | Density functional theory data (PBE) for crystalline Li6In2Au at its relaxed geometry.

```
data_Li6In2Au
_cell_length_a 7.9778
_cell_length_b 7.9778
_cell_length_c 8.4912
_cell_angle_alpha 90.00
_cell_angle_beta 90.00
_cell_angle_gamma 120.00
_symmetry_space_group_name_H-M 'R -3 m'
_symmetry_Int_Tables_number 166
_symmetry_space_group_name_Hall '-R 3 2"'
loop_
_atom_site_label
_atom_site_type_symbol
_atom_site_fract_x
_atom_site_fract_y
_atom_site_fract_z
Li1 Li 0.0000 0.3356 0.0000
In1 In 0.0000 0.0000 0.1715
Au1 Au 0.0000 0.0000 0.5000
```

The density of states at the Fermi level is 9.9 states/eV per cell.


B is favored, and the nearest alternative lies 0.013 eV/atom above it.


A | Density functional theory data (PBE) for crystalline Li2InAu2 at its relaxed geometry.

```
data_Li2InAu2
_cell_length_a 4.5785
_cell_length_b 4.5785
_cell_length_c 14.6709
_cell_angle_alpha 90.00
_cell_angle_beta 90.00
_cell_angle_gamma 120.00
_symmetry_space_group_name_H-M 'R -3 m'
_symmetry_Int_Tables_number 166
_symmetry_space_group_name_Hall '-R 3 2"'
loop_
_atom_site_label
_atom_site_type_symbol
_atom_site_fract_x
_atom_site_fract_y
_atom_site_fract_z
Li1 Li 0.0000 0.0000 0.2093
In1 In 0.0000 0.0000 0.0000
Au1 Au 0.0000 0.0000 0.4058
```

The density of states at the Fermi level is 4.4 states/eV per cell.


B | Density functional theory data (PBE) for crystalline Li2InAu2 at its relaxed geometry.

```
data_Li2InAu2
_cell_length_a 3.851
_cell_length_b 3.851
_cell_length_c 13.010
_cell_angle_alpha 90.00
_cell_angle_beta 90.00
_cell_angle_gamma 90.00
_symmetry_space_group_name_H-M 'I 4/m m m'
_symmetry_Int_Tables_number 139
_symmetry_space_group_name_Hall '-I 4 2'
loop_
_atom_site_label
_atom_site_type_symbol
_atom_site_fract_x
_atom_site_fract_y
_atom_site_fract_z
Li1 Li 0.000 0.500 0.250
In1 In 0.000 0.000 0.000
Au1 Au 0.000 0.000 0.390
```

The density of states at the Fermi level is 2.9 states/eV per cell.


A is favored, and the nearest alternative lies 0.133 eV/atom above it.


A | Density functional theory data (PBE) for crystalline Li2InAu2 at its relaxed geometry.

```
data_Li2InAu2
_cell_length_a 9.179
_cell_length_b 4.132
_cell_length_c 9.178
_cell_angle_alpha 90.00
_cell_angle_beta 90.11
_cell_angle_gamma 90.00
_symmetry_space_group_name_H-M 'C 1 2/m 1'
_symmetry_Int_Tables_number 12
loop_
_symmetry_equiv_pos_as_xyz
'x,y,z'
'-x,-y,-z'
'-x,y,-z'
'x,-y,z'
'x+1/2,y+1/2,z'
'-x+1/2,-y+1/2,-z'
'-x+1/2,y+1/2,-z'
'x+1/2,-y+1/2,z'
loop_
_atom_site_label
_atom_site_type_symbol
_atom_site_fract_x
_atom_site_fract_y
_atom_site_fract_z
Li1 Li 0.050 0.000 0.362
Li2 Li 0.141 0.000 0.047
In1 In 0.248 0.000 0.749
Au1 Au 0.045 0.500 0.853
Au2 Au 0.145 0.500 0.551
```

The density of states at the Fermi level is 5.8 states/eV per cell.


B | Density functional theory data (PBE) for crystalline Li2InAu2 at its relaxed geometry.

```
data_Li2InAu2
_cell_length_a 3.918
_cell_length_b 3.918
_cell_length_c 12.505
_cell_angle_alpha 90.00
_cell_angle_beta 90.00
_cell_angle_gamma 90.00
_symmetry_space_group_name_H-M 'I 4/m m m'
_symmetry_Int_Tables_number 139
_symmetry_space_group_name_Hall '-I 4 2'
loop_
_atom_site_label
_atom_site_type_symbol
_atom_site_fract_x
_atom_site_fract_y
_atom_site_fract_z
Li1 Li 0.000 0.000 0.108
In1 In 0.000 0.000 0.500
Au1 Au 0.000 0.500 0.250
```

The density of states at the Fermi level is 2.0 states/eV per cell.


A is favored, and the nearest alternative lies 0.193 eV/atom above it.